{
  "formula": "MgNb2VO8",
  "functional": "GGA+U",
  "state": "optimized geometry",
  "lattice": [[5.901, 0.000, 0.000], [-2.951, 5.111, 0.000], [0.000, 0.000, 5.477]],
  "species": ["Nb", "V", "Nb", "O", "O", "O", "O", "O", "Mg", "O", "O", "O"],
  "frac_coords": [[0.667, 0.333, 0.298], [0.000, 0.000, 0.000], [0.333, 0.667, 0.702], [0.149, 0.851, 0.778], [0.702, 0.851, 0.778], [0.333, 0.667, 0.380], [0.851, 0.149, 0.222], [0.149, 0.298, 0.778], [0.000, 0.000, 0.500], [0.851, 0.702, 0.222], [0.667, 0.333, 0.620], [0.298, 0.149, 0.222]],
  "e_tot_ev_per_cell": -96.53
}